No. 1
Computed, not measured: crystalline Re3Te4 at its relaxed geometry at the PBE-GGA level of DFT.

Its uncorrected energy is -6.215 eV per atom. As for the space-group type: No. 191. The energy relative to the elements, uncorrected comes out at 0.9155 eV per atom. The total moment comes out at 0.70 μB per cell.

Unit cell a=5.037 b=5.037 c=8.772 alpha=90.00 beta=90.00 gamma=120.00
Each line ends with the local moment (μB).
Fractional coordinates of all 7 atoms:
Re 0.000 0.500 0.000  0.19
Re 0.500 0.500 0.000  0.19
Re 0.500 0.000 0.000  0.19
Te 0.000 0.000 0.188  -0.01
Te 0.000 0.000 0.812  -0.01
Te 0.667 0.333 0.500  0.00
Te 0.333 0.667 0.500  0.00


No. 2
Computed, not measured: crystalline ReTe at its relaxed geometry at the PBE-GGA level of DFT.

Its uncorrected energy is -7.433 eV per atom. As for the space-group type: No. 8. The energy above the lowest structure with this stoichiometry comes out at 33 meV per atom. The energy relative to the elements, uncorrected comes out at 0.3622 eV per atom. The total moment comes out at 0.00 μB per cell.

Unit cell a=7.242 b=7.242 c=6.760 alpha=76.07 beta=76.07 gamma=25.07
Fractional coordinates of all 6 atoms:
Re 0.054 0.054 0.012
Re 0.419 0.419 0.173
Re 0.575 0.575 0.323
Te 0.642 0.642 0.674
Te 0.914 0.914 0.514
Te 0.229 0.229 0.136


No. 3
Computed, not measured: crystalline ReTe at its relaxed geometry at the PBE-GGA level of DFT.

Its uncorrected energy is -7.435 eV per atom. As for the space-group type: No. 129. The energy above the lowest structure with this stoichiometry comes out at 31 meV per atom. The energy relative to the elements, uncorrected comes out at 0.3604 eV per atom. The total moment comes out at 0.00 μB per cell.

Unit cell a=3.116 b=3.116 c=8.867 alpha=90.00 beta=90.00 gamma=90.00
Fractional coordinates of all 4 atoms:
Re 0.000 0.000 0.024
Re 0.500 0.500 0.226
Te 0.000 0.000 0.416
Te 0.500 0.500 0.834


No. 4
Computed, not measured: crystalline ReTe at its relaxed geometry at the PBE-GGA level of DFT.

Its uncorrected energy is -6.578 eV per atom. As for the space-group type: No. 186. The energy above the lowest structure with this stoichiometry comes out at 888 meV per atom. The energy relative to the elements, uncorrected comes out at 1.2165 eV per atom. The total moment comes out at 0.00 μB per cell.

Unit cell a=4.119 b=4.119 c=7.205 alpha=90.00 beta=90.00 gamma=120.00
Fractional coordinates of all 4 atoms:
Re 0.333 0.667 0.722
Re 0.667 0.333 0.222
Te 0.333 0.667 0.360
Te 0.667 0.333 0.860


No. 5
Computed, not measured: crystalline ReTe at its relaxed geometry at the PBE-GGA level of DFT.

Its uncorrected energy is -7.303 eV per atom. As for the space-group type: No. 8. The energy above the lowest structure with this stoichiometry comes out at 163 meV per atom. The energy relative to the elements, uncorrected comes out at 0.4914 eV per atom. The total moment comes out at 0.00 μB per cell.

Unit cell a=6.955 b=6.955 c=6.843 alpha=75.11 beta=75.11 gamma=25.89
Fractional coordinates of all 6 atoms:
Re 0.997 0.997 0.913
Re 0.651 0.651 0.956
Re 0.577 0.577 0.627
Te 0.319 0.319 0.083
Te 0.043 0.043 0.296
Te 0.246 0.246 0.623


No. 6
Computed, not measured: crystalline ReTe at its relaxed geometry at the PBE-GGA level of DFT.

Its uncorrected energy is -6.927 eV per atom. As for the space-group type: No. 74. The energy above the lowest structure with this stoichiometry comes out at 539 meV per atom. The energy relative to the elements, uncorrected comes out at 0.8677 eV per atom. The total moment comes out at 0.00 μB per cell.

Unit cell a=6.308 b=6.308 c=6.308 alpha=148.70 beta=137.94 gamma=53.35
Fractional coordinates of all 4 atoms:
Re 0.950 0.950 0.000
Re 0.800 0.300 0.500
Te 0.524 0.524 0.000
Te 0.226 0.726 0.500


No. 7
Computed, not measured: crystalline ReTe at its relaxed geometry at the PBE-GGA level of DFT.

Its uncorrected energy is -7.403 eV per atom. As for the space-group type: No. 62. The energy above the lowest structure with this stoichiometry comes out at 63 meV per atom. The energy relative to the elements, uncorrected comes out at 0.3922 eV per atom. The total moment comes out at 0.00 μB per cell.

Unit cell a=11.845 b=3.860 c=8.290 alpha=90.00 beta=90.00 gamma=90.00
Fractional coordinates of all 16 atoms:
Re 0.126 0.250 0.362
Re 0.626 0.250 0.138
Re 0.874 0.750 0.638
Re 0.374 0.750 0.862
Re 0.015 0.250 0.626
Re 0.515 0.250 0.874
Re 0.985 0.750 0.374
Re 0.485 0.750 0.126
Te 0.253 0.250 0.662
Te 0.753 0.250 0.838
Te 0.747 0.750 0.338
Te 0.247 0.750 0.162
Te 0.958 0.250 0.141
Te 0.458 0.250 0.359
Te 0.042 0.750 0.859
Te 0.542 0.750 0.641


No. 8
Computed, not measured: crystalline ReTe at its relaxed geometry at the PBE-GGA level of DFT.

Its uncorrected energy is -6.909 eV per atom. As for the space-group type: No. 136. The energy above the lowest structure with this stoichiometry comes out at 557 meV per atom. The energy relative to the elements, uncorrected comes out at 0.8855 eV per atom. The total moment comes out at 0.03 μB per cell.

Unit cell a=6.663 b=6.663 c=4.938 alpha=90.00 beta=90.00 gamma=90.00
Fractional coordinates of all 8 atoms:
Re 0.382 0.382 0.000
Re 0.882 0.118 0.500
Re 0.118 0.882 0.500
Re 0.618 0.618 0.000
Te 0.228 0.772 0.000
Te 0.728 0.728 0.500
Te 0.272 0.272 0.500
Te 0.772 0.228 0.000


No. 9
Computed, not measured: crystalline ReTe at its relaxed geometry at the PBE-GGA level of DFT.

Its uncorrected energy is -7.356 eV per atom. As for the space-group type: No. 12. The energy above the lowest structure with this stoichiometry comes out at 110 meV per atom. The energy relative to the elements, uncorrected comes out at 0.4388 eV per atom. The total moment comes out at 0.00 μB per cell.

Unit cell a=4.209 b=6.832 c=4.117 alpha=72.46 beta=60.71 gamma=71.65
Fractional coordinates of all 4 atoms:
Re 0.113 0.836 0.026
Re 0.804 0.748 0.724
Te 0.544 0.505 0.475
Te 0.372 0.078 0.275


No. 10
Computed, not measured: crystalline ReTe at its relaxed geometry at the PBE-GGA level of DFT.

Its uncorrected energy is -6.786 eV per atom. As for the space-group type: No. 187. The energy above the lowest structure with this stoichiometry comes out at 680 meV per atom. The energy relative to the elements, uncorrected comes out at 1.0086 eV per atom. The total moment comes out at 0.00 μB per cell.

Unit cell a=3.278 b=3.278 c=4.084 alpha=90.00 beta=90.00 gamma=120.00
Fractional coordinates of all 2 atoms:
Re 0.000 0.000 0.000
Te 0.667 0.333 0.500


No. 11
Computed, not measured: crystalline Re2Te at its relaxed geometry at the PBE-GGA level of DFT.

Its uncorrected energy is -9.179 eV per atom. As for the space-group type: No. 63. The energy above the lowest structure with this stoichiometry comes out at 0 meV per atom. The energy relative to the elements, uncorrected comes out at 0.1672 eV per atom. The total moment comes out at 0.00 μB per cell.

Unit cell a=9.956 b=9.956 c=4.352 alpha=90.00 beta=90.00 gamma=162.57
Fractional coordinates of all 6 atoms:
Re 0.574 0.426 0.750
Re 0.962 0.038 0.750
Re 0.038 0.962 0.250
Re 0.426 0.574 0.250
Te 0.336 0.664 0.750
Te 0.664 0.336 0.250


No. 12
Computed, not measured: crystalline ReTe at its relaxed geometry at the PBE-GGA level of DFT.

Its uncorrected energy is -6.430 eV per atom. As for the space-group type: No. 225. The energy above the lowest structure with this stoichiometry comes out at 1036 meV per atom. The energy relative to the elements, uncorrected comes out at 1.3653 eV per atom. The total moment comes out at 7.70 μB per cell.

Unit cell a=5.575 b=5.575 c=5.575 alpha=90.00 beta=90.00 gamma=90.00
Each line ends with the local moment (μB).
Fractional coordinates of all 8 atoms:
Re 0.500 0.500 0.500  1.66
Re 0.500 0.000 0.000  1.66
Re 0.000 0.500 0.000  1.66
Re 0.000 0.000 0.500  1.66
Te 0.000 0.000 0.000  0.01
Te 0.000 0.500 0.500  0.01
Te 0.500 0.000 0.500  0.01
Te 0.500 0.500 0.000  0.01


No. 13
Computed, not measured: crystalline Re4Te3 at its relaxed geometry at the PBE-GGA level of DFT.

Its uncorrected energy is -6.583 eV per atom. As for the space-group type: No. 191. The energy relative to the elements, uncorrected comes out at 1.8771 eV per atom. The total moment comes out at 0.00 μB per cell.

Unit cell a=5.815 b=5.815 c=4.768 alpha=90.00 beta=90.00 gamma=120.00
Fractional coordinates of all 7 atoms:
Re 0.000 0.000 0.259
Re 0.000 0.000 0.741
Re 0.667 0.333 0.500
Re 0.333 0.667 0.500
Te 0.000 0.500 0.000
Te 0.500 0.500 0.000
Te 0.500 0.000 0.000


No. 14
Computed, not measured: crystalline Re2Te at its relaxed geometry at the PBE-GGA level of DFT.

Its uncorrected energy is -7.852 eV per atom. As for the space-group type: No. 205. The energy above the lowest structure with this stoichiometry comes out at 1327 meV per atom. The energy relative to the elements, uncorrected comes out at 1.4944 eV per atom. The total moment comes out at 0.00 μB per cell.

Unit cell a=6.313 b=6.313 c=6.313 alpha=90.00 beta=90.00 gamma=90.00
Fractional coordinates of all 12 atoms:
Re 0.606 0.606 0.394
Re 0.394 0.394 0.606
Re 0.106 0.894 0.606
Re 0.894 0.106 0.394
Re 0.394 0.106 0.106
Re 0.606 0.894 0.894
Re 0.894 0.394 0.894
Re 0.106 0.606 0.106
Te 0.000 0.000 0.000
Te 0.500 0.500 0.000
Te 0.500 0.000 0.500
Te 0.000 0.500 0.500


Number 1: calculated volume 27.53 A^3/atom. Number 2: calculated volume 24.27 A^3/atom. Number 3: calculated volume 21.53 A^3/atom. Number 4: calculated volume 26.47 A^3/atom. Number 5: calculated volume 23.24 A^3/atom. Number 6: calculated volume 21.71 A^3/atom. Number 7: calculated volume 23.69 A^3/atom. Number 8: calculated volume 27.40 A^3/atom. Number 9: calculated volume 24.11 A^3/atom. Number 10: calculated volume 19.00 A^3/atom. Number 11: calculated volume 21.53 A^3/atom. Number 12: calculated volume 21.65 A^3/atom. Number 13: calculated volume 19.94 A^3/atom. Number 14: calculated volume 20.97 A^3/atom.